# PBE Tb5SmCu6, optimized geometry
# Energy of formation in eV/f.u.: -2.8
# Density of states at the Fermi level in states/eV per atom: 0.43
# Total DFT energy (no corrections) in eV per atom: -4.6015
data_Tb5SmCu6
_cell_length_a 4.9633
_cell_length_b 14.8970
_cell_length_c 6.9323
_cell_angle_alpha 90.00
_cell_angle_beta 90.00
_cell_angle_gamma 90.00
_symmetry_space_group_name_H-M 'C m m m'
_symmetry_Int_Tables_number 65
_symmetry_space_group_name_Hall '-C 2 2'
loop_
_atom_site_label
_atom_site_type_symbol
_atom_site_fract_x
_atom_site_fract_y
_atom_site_fract_z
Tb1 Tb 0.0000 0.0000 0.0000
Tb2 Tb 0.0000 0.3327 0.5000
Tb3 Tb 0.0000 0.3338 0.0000
Sm1 Sm 0.0000 0.0000 0.5000
Cu1 Cu 0.0000 0.1687 0.2481
Cu2 Cu 0.0000 0.5000 0.2445